No. 1
Entry from Alexandria: a relaxed structure of Ag2PdAu (PBE).

```
Ag2PdAu
1.0
-4.0148 -0.5482 0.7178
0.2786 -3.8610 -1.3907
2.7163 0.9124 4.0939
Au Ag Pd
1 2 1
Cartesian
0.0000 0.0000 0.0000
-1.5832 -0.9203 2.2379
0.5633 -2.5765 1.1831
-1.8681 -2.2046 -0.3365
```

Computed properties:
space group = I4/mmm
formation enthalpy at 0 K = -72 meV/atom
Fermi-level density of states = 1.193 states/eV per cell



No. 2
Entry from Alexandria: a relaxed structure of Li2CdSbCl6 (PBE).

```
Li2CdSbCl6
1.0
0.4580 -3.9220 -5.7110
5.1113 -4.7452 -1.0990
-2.3215 -6.4508 1.1988
Cl Cd Li Sb
6 1 2 1
Cartesian
0.2898 -7.2396 0.0313
0.8406 -5.4185 -3.1266
3.9168 -6.4541 -1.6077
2.5368 -9.8402 -2.6035
2.5157 -7.9748 -5.4182
-1.1881 -8.4419 -3.4688
3.3651 -10.6183 -4.9306
2.2672 -7.4133 -3.0410
-1.9181 -6.2397 0.5213
1.6935 -3.1146 -2.0896
```

Computed properties:
space group = P1



No. 3
Entry from Alexandria: a relaxed structure of VSbTe2N (PBE).

```
VSbTe2N
1.0
5.4763 0.0000 0.0000
0.0000 5.4763 0.0000
0.0000 0.0000 3.6839
Te N V Sb
2 1 1 1
Cartesian
0.0000 2.7382 0.0000
2.7382 0.0000 0.0000
0.0000 0.0000 1.8420
0.0000 0.0000 0.0000
2.7382 2.7382 1.8420
```

Computed properties:
space group = P4/mmm
Fermi-level density of states = 3.065 states/eV per cell



No. 4
Entry from Alexandria: a relaxed structure of AcCeO (PBE).

```
AcCeO
1.0
-4.7121 0.3197 2.4322
2.4114 -0.3635 4.7196
1.5345 4.5334 -3.4247
O Ac Ce
1 1 1
Cartesian
-1.0549 1.0995 3.6135
0.2918 3.4277 0.1149
-0.8847 3.0986 3.6805
```

Computed properties:
space group = I4mm
Fermi-level density of states = 9.070 states/eV per cell



No. 5
Entry from Alexandria: a relaxed structure of Ce2AlRh (PBE).

```
Ce2AlRh
1.0
-2.3898 1.5782 -0.9655
-0.6812 0.0612 -2.9439
-7.3777 -8.2880 -0.0165
Rh Ce Al
1 2 1
Cartesian
-5.2244 -3.3243 -1.9629
-5.5779 -5.7856 -0.3809
-4.8708 -0.8630 -3.5449
0.0000 0.0000 0.0000
```

Computed properties:
space group = R-3m
formation enthalpy at 0 K = 32 meV/atom
Fermi-level density of states = 7.771 states/eV per cell



No. 6
Entry from Alexandria: a relaxed structure of V2SiMoC (PBE).

```
V2SiMoC
1.0
3.9376 0.0000 0.0000
0.0000 4.1311 0.0000
0.0000 0.0000 3.9376
Si V C Mo
1 2 1 1
Cartesian
1.9688 2.0655 1.9688
1.9688 0.0000 0.0000
0.0000 0.0000 1.9688
0.0000 0.0000 0.0000
0.0000 2.0655 0.0000
```

Computed properties:
space group = P4/mmm
Fermi-level density of states = 3.652 states/eV per cell



No. 7
Entry from Alexandria: a relaxed structure of La4Pr3Tm (PBE).

```
La4Pr3Tm
1.0
-1.1698 1.4476 -3.0251
-3.1519 -5.2920 -1.3135
-9.3172 4.6490 7.9126
La Pr Tm
4 3 1
Cartesian
-5.7051 1.7969 0.9809
-10.8516 0.8793 2.5319
-2.7872 -0.0748 1.0420
-7.9338 -0.9923 2.5930
-5.1834 -2.3592 0.8755
-1.5759 -2.6460 -0.6568
-8.4555 3.1637 2.6985
-0.5849 0.7238 -1.5126
```

Computed properties:
space group = C2/m
formation enthalpy at 0 K = 189 meV/atom
Fermi-level density of states = 12.658 states/eV per cell



No. 8
Entry from Alexandria: a relaxed structure of TbBi2Pd7 (PBE).

```
TbBi2Pd7
1.0
4.0156 0.0000 -0.7727
-0.1487 4.0128 -0.7727
0.2740 0.2843 12.2448
Pd Bi Tb
7 2 1
Cartesian
1.9335 2.0064 -0.7727
1.7446 3.8940 9.0668
3.8267 1.8876 9.0668
2.3963 0.4032 1.6327
1.0294 3.1518 5.3497
0.3142 2.4096 1.6327
3.1115 1.1454 5.3497
1.4648 1.5200 7.6124
2.6761 2.7771 3.0871
0.0000 0.0000 0.0000
```

Computed properties:
space group = I4/mmm
formation enthalpy at 0 K = -456 meV/atom
Fermi-level density of states = 3.234 states/eV per cell



What did we get for calculated total energy? Answer: -3.615; -3.147; -5.492; -5.968; -5.708; -8.884; -4.625; -5.330 eV per atom, in the order shown.